(1)
DFT (PBE) results for an optimized crystal structure of GeBO2F.

The formation energy without anion corrections is -0.316 eV/atom. As for the spin magnetization: 0.00 μB per cell.

The space group is P4/mmm (No. 123) and the conventional cell measures 3.690, 3.690 and 3.937 Å, with angles of 90.00, 90.00 and 90.00 degrees. The asymmetric unit holds Ge at (0.000, 0.000, 0.000), B at (0.500, 0.500, 0.500), O at (0.000, 0.500, 0.000) and F at (0.000, 0.000, 0.500).



(2)
DFT (PBE) results for an optimized crystal structure of Ni2H3Pt.

As for the spin magnetization: 0.00 μB per cell. The calculation puts the total energy at -4.6280 eV/atom.

The space group is C2/m (No. 12) and the conventional cell measures 9.431, 2.770 and 7.733 Å, with angles of 90.00, 112.59 and 90.00 degrees. The asymmetric unit holds Ni at (0.003, 0.000, 0.260), Ni at (0.159, 0.500, 0.071), H at (0.003, 0.500, 0.138), H at (0.161, 0.000, 0.933), H at (0.174, 0.000, 0.221) and Pt at (0.158, 0.500, 0.578).



(3)
DFT (PBE) results for an optimized crystal structure of SnRh2.

As for the spin magnetization: 0.00 μB per cell. As for the formation energy: -192 meV per atom.

The space group is I4/mmm (No. 139) and the conventional cell measures 3.119, 3.119 and 10.041 Å, with angles of 90.00, 90.00 and 90.00 degrees. The asymmetric unit holds Sn at (0.000, 0.000, 0.000) and Rh at (0.000, 0.000, 0.342).



(4)
DFT (PBE) results for an optimized crystal structure of BaCrAg2.

As for the spin magnetization: 9.31 μB per cell. As for the formation energy: 405 meV per atom.

The space group is Imm2 (No. 44) and the conventional cell measures 3.972, 5.268 and 9.896 Å, with angles of 90.00, 90.00 and 90.00 degrees. The asymmetric unit holds Ba at (0.000, 0.000, 0.000), Cr at (0.000, 0.500, 0.785), Ag at (0.000, 0.000, 0.502) and Ag at (0.000, 0.500, 0.222).



(5)
DFT (PBE) results for an optimized crystal structure of NdHo2Si6.

The formation energy without anion corrections is -0.529 eV/atom. As for the spin magnetization: 0.00 μB per cell.

The space group is P6/mmm (No. 191) and the conventional cell measures 7.1213, 7.1213 and 3.9884 Å, with angles of 90.00, 90.00 and 120.00 degrees. The asymmetric unit holds Nd at (0.0000, 0.0000, 0.0000), Ho at (0.3333, 0.6667, 0.0000) and Si at (0.0000, 0.3362, 0.5000).



(6)
DFT (PBE) results for an optimized crystal structure of GaHgPbAu.

As for the spin magnetization: 0.00 μB per cell. As for the formation energy: 70 meV per atom.

The space group is F-43m (No. 216) and the conventional cell measures 7.241, 7.241 and 7.241 Å, with angles of 90.00, 90.00 and 90.00 degrees. The asymmetric unit holds Ga at (0.000, 0.000, 0.000), Hg at (0.250, 0.250, 0.250), Pb at (0.000, 0.000, 0.500) and Au at (0.250, 0.250, 0.750).



(7)
DFT (PBE) results for an optimized crystal structure of CrAg2Ru.

As for the spin magnetization: 2.89 μB per cell. As for the formation energy: 523 meV per atom.

The space group is Pmmm (No. 47) and the conventional cell measures 3.045, 4.430 and 4.761 Å, with angles of 90.00, 90.00 and 90.00 degrees. The asymmetric unit holds Cr at (0.000, 0.000, 0.000), Ag at (0.000, 0.500, 0.500), Ag at (0.500, 0.000, 0.500) and Ru at (0.500, 0.500, 0.000).



(8)
DFT (PBE) results for an optimized crystal structure of Tb2ThPd.

As for the spin magnetization: 0.00 μB per cell. As for the formation energy: -401 meV per atom.

The space group is Pnma (No. 62) and the conventional cell measures 6.992, 9.922 and 6.550 Å, with angles of 90.00, 90.00 and 90.00 degrees. The asymmetric unit holds Tb at (0.189, 0.060, 0.163), Th at (0.025, 0.250, 0.649) and Pd at (0.117, 0.750, 0.928).



Question: spin magnetization of number 5 (NdHo2Si6)?
Answer: 0.00 μB per cell



Question: The highest spin magnetization belongs to which entry?
Answer: BaCrAg2